(1)
An optimized crystal structure of YMnTc, computed with GGA-PBE.

Summary:
- Total moment: 0.0 μB/cell
- Energy above the most stable polymorph in this dataset: 0.5942 eV per atom
- Calculated formation energy: 0.5377 eV/atom

Cell lengths 6.0958, 6.0958, 6.0958 Å; angles 90.00, 90.00, 90.00 degrees
Space group F-43m (No. 216)
Unique sites:
Y (0.0000, 0.0000, 0.0000) (multiplicity 4)
Mn (0.2500, 0.2500, 0.7500) (multiplicity 4)
Tc (0.0000, 0.0000, 0.5000) (multiplicity 4)

---

(2)
An optimized crystal structure of Y2MnTc, computed with GGA-PBE.

Summary:
- Total moment: 16.1 μB/cell
- Energy above the most stable polymorph in this dataset: 0.1243 eV per atom
- Calculated formation energy: 0.1587 eV/atom

Cell lengths 6.9925, 6.9925, 6.9925 Å; angles 90.00, 90.00, 90.00 degrees
Space group Fm-3m (No. 225)
Unique sites:
Y (0.2500, 0.2500, 0.2500) (multiplicity 8)
Mn (0.0000, 0.0000, 0.0000) (multiplicity 4)
Tc (0.0000, 0.0000, 0.5000) (multiplicity 4)